[1]
VASP calculation (GGA-PBE) on SrTlN2F after structural relaxation.

Values from the calculation:
As for the total energy: -4.2833 eV per atom. The calculated volume is 120.72 Å³ per cell. The value obtained for the energy above the most stable polymorph in this dataset is 240.4 meV per atom.

a b c (Å): 5.094 5.094 4.653
angles (deg): 90.00 90.00 90.00
Space group P4/mmm (No. 123)
One atom of each set of equivalent atoms:
Sr (0.000, 0.000, 0.000) x1
Tl (0.500, 0.500, 0.500) x1
N (0.000, 0.500, 0.000) x2
F (0.000, 0.000, 0.500) x1

***

[2]
VASP calculation (GGA-PBE) on DyZn5Ga after structural relaxation.

Values from the calculation:
As for the total energy: -2.2183 eV per atom. The calculated volume is 479.14 Å³ per cell. The calculation puts the formation energy at -0.22 eV/atom.

a b c (Å): 8.695 5.263 10.469
angles (deg): 90.00 90.00 90.00
Space group Pnma (No. 62)
One atom of each set of equivalent atoms:
Dy (0.243, 0.250, 0.062) x4
Zn (0.053, 0.750, 0.092) x4
Zn (0.071, 0.010, 0.309) x8
Zn (0.083, 0.250, 0.523) x4
Zn (0.194, 0.250, 0.750) x4
Ga (0.132, 0.750, 0.853) x4

***

[3]
VASP calculation (GGA-PBE) on Pm6Ir2RuI3 after structural relaxation.

Values from the calculation:
As for the total energy: -5.8710 eV per atom. The calculated volume is 729.90 Å³ per cell.

a b c (Å): 7.221 12.506 8.433
angles (deg): 90.00 106.58 90.00
Space group C2/m (No. 12)
One atom of each set of equivalent atoms:
Pm (0.226, 0.165, 0.184) x8
Pm (0.232, 0.500, 0.184) x4
Ir (0.000, 0.333, 0.000) x4
Ru (0.000, 0.000, 0.000) x2
I (0.000, 0.166, 0.500) x4
I (0.000, 0.500, 0.500) x2

***

[4]
VASP calculation (GGA-PBE) on TbPr3Dy12 after structural relaxation.

Values from the calculation:
As for the total energy: -4.6163 eV per atom. The calculated volume is 516.77 Å³ per cell. The calculation puts the formation energy at 0.02 eV/atom.

a b c (Å): 5.055 5.055 20.220
angles (deg): 90.00 90.00 90.00
Space group P4/mmm (No. 123)
One atom of each set of equivalent atoms:
Tb (0.000, 0.000, 0.000) x1
Pr (0.000, 0.000, 0.249) x2
Pr (0.000, 0.000, 0.500) x1
Dy (0.000, 0.500, 0.123) x4
Dy (0.000, 0.500, 0.374) x4
Dy (0.500, 0.500, 0.000) x1
Dy (0.500, 0.500, 0.249) x2
Dy (0.500, 0.500, 0.500) x1

***

[5]
VASP calculation (GGA-PBE) on ErPuAlAg after structural relaxation.

Values from the calculation:
As for the total energy: -6.4952 eV per atom. The calculated volume is 383.33 Å³ per cell. The calculation puts the formation energy at -0.12 eV/atom.

a b c (Å): 7.264 7.264 7.264
angles (deg): 90.00 90.00 90.00
Space group F-43m (No. 216)
One atom of each set of equivalent atoms:
Er (0.000, 0.000, 0.000) x4
Pu (0.000, 0.000, 0.500) x4
Al (0.250, 0.250, 0.250) x4
Ag (0.250, 0.250, 0.750) x4

***

[6]
VASP calculation (GGA-PBE) on Cr3C after structural relaxation.

Values from the calculation:
As for the total energy: -9.4332 eV per atom. The calculated volume is 124.89 Å³ per cell. The value obtained for the energy above the most stable polymorph in this dataset is 183.5 meV per atom. The calculation puts the formation energy at 0.09 eV/atom.

a b c (Å): 2.7616 2.7616 18.9090
angles (deg): 90.00 90.00 120.00
Space group R-3m (No. 166, hexagonal axes)
One atom of each set of equivalent atoms:
Cr (0.0000, 0.0000, 0.0000) x3
Cr (0.0000, 0.0000, 0.2263) x6
C (0.0000, 0.0000, 0.5000) x3

***

[7]
VASP calculation (GGA-PBE) on MgV2S4 after structural relaxation.

Values from the calculation:
As for the total energy: -5.5319 eV per atom. The calculated volume is 280.62 Å³ per cell. The value obtained for the energy above the most stable polymorph in this dataset is 644.6 meV per atom.

a b c (Å): 4.794 4.794 12.209
angles (deg): 90.00 90.00 90.00
Space group I4/mmm (No. 139)
One atom of each set of equivalent atoms:
Mg (0.000, 0.000, 0.000) x2
V (0.000, 0.000, 0.391) x4
S (0.000, 0.000, 0.218) x4
S (0.000, 0.500, 0.000) x4

***

[8]
VASP calculation (GGA-PBE) on Rb2Cd2C after structural relaxation.

Values from the calculation:
As for the total energy: -1.6737 eV per atom. The calculated volume is 353.61 Å³ per cell. The value obtained for the energy above the most stable polymorph in this dataset is 0.0 meV per atom. The calculation puts the formation energy at 0.92 eV/atom.

a b c (Å): 4.117 4.117 20.865
angles (deg): 90.00 90.00 90.00
Space group I4/mmm (No. 139)
One atom of each set of equivalent atoms:
Rb (0.000, 0.000, 0.084) x4
Cd (0.000, 0.500, 0.250) x4
C (0.000, 0.000, 0.500) x2